[1]
DFT (PBE) results for crystalline K4Pu3PaS8 at its relaxed geometry.

Values from the calculation:
- ΔE_f (raw) (eV per atom) = -1.601
- E (eV per atom) = -7.22
- total moment (μB/f.u.) = 17.0

Unit cell a=8.2175 b=8.2175 c=22.0532 alpha=90.00 beta=90.00 gamma=120.00
Space group R-3m (No. 166, hexagonal axes)
Symmetry-distinct sites (fractional):
K: 0.0000 0.0000 0.0000
K: 0.0000 0.5000 0.0000
Pu: 0.0000 0.5000 0.5000
Pa: 0.0000 0.0000 0.5000
S: 0.0000 0.0000 0.2335
S: 0.0096 0.5048 0.2338

---

[2]
DFT (PBE) results for crystalline ZrCdOs2 at its relaxed geometry.

Values from the calculation:
- E (eV per atom) = -7.14
- ΔH_f (0 K) (eV/atom) = 0.84
- total moment (μB/f.u.) = 0.0

Unit cell a=7.464 b=7.464 c=5.473 alpha=90.00 beta=90.00 gamma=90.00
Space group I-42d (No. 122)
Symmetry-distinct sites (fractional):
Zr: 0.000 0.000 0.000
Cd: 0.000 0.000 0.500
Os: 0.241 0.750 0.125

---

[3]
DFT (PBE) results for crystalline Ac4Te2PRh at its relaxed geometry.

Values from the calculation:
- ΔE_f (raw) (eV per atom) = -1.296
- E (eV per atom) = -5.73
- total moment (μB/f.u.) = 0.0

Unit cell a=7.868 b=4.461 c=8.183 alpha=90.00 beta=107.48 gamma=90.00
Space group P2/m (No. 10)
Symmetry-distinct sites (fractional):
Ac: 0.234 0.000 0.213
Ac: 0.254 0.500 0.787
Te: 0.000 0.000 0.500
Te: 0.500 0.500 0.500
P: 0.500 0.000 0.000
Rh: 0.000 0.500 0.000

---

[4]
DFT (PBE) results for crystalline LaCeP at its relaxed geometry.

Values from the calculation:
- E (eV per atom) = -6.28
- ΔH_f (0 K) (eV/atom) = -0.86
- total moment (μB/f.u.) = 2.1

Unit cell a=4.0234 b=4.0234 c=6.7378 alpha=90.00 beta=90.00 gamma=120.00
Space group P3m1 (No. 156)
Symmetry-distinct sites (fractional):
La: 0.0000 0.0000 0.0000
Ce: 0.6667 0.3333 0.4980
P: 0.3333 0.6667 0.7387

---

[5]
DFT (PBE) results for crystalline La3AuO at its relaxed geometry.

Values from the calculation:
- ΔE_f (raw) (eV per atom) = -1.434
- E (eV per atom) = -6.04
- total moment (μB/f.u.) = 0.0

Unit cell a=7.031 b=7.052 c=7.090 alpha=60.25 beta=61.47 gamma=61.20
Space group P-1 (No. 2)
Symmetry-distinct sites (fractional):
La: 0.196 0.303 0.180
La: 0.259 0.725 0.275
La: 0.295 0.831 0.706
Au: 0.256 0.272 0.731
O: 0.000 0.000 0.500
O: 0.500 0.500 0.000

---

[6]
DFT (PBE) results for crystalline Cs5Al2Sb5 at its relaxed geometry.

Values from the calculation:
- ΔE_f (raw) (eV per atom) = -0.291
- E (eV per atom) = -2.99
- total moment (μB/f.u.) = 0.0

Unit cell a=19.029 b=4.567 c=12.285 alpha=90.00 beta=90.80 gamma=90.00
Space group C2/m (No. 12)
Symmetry-distinct sites (fractional):
Cs: 0.000 0.000 0.000
Cs: 0.156 0.000 0.414
Cs: 0.193 0.500 0.852
Al: 0.024 0.500 0.268
Sb: 0.000 0.500 0.500
Sb: 0.055 0.000 0.681
Sb: 0.141 0.500 0.162

---

[7]
DFT (PBE) results for crystalline HgBTeN2 at its relaxed geometry.

Values from the calculation:
- ΔE_f (raw) (eV per atom) = 1.808
- E (eV per atom) = -3.55
- total moment (μB/f.u.) = 0.4

Unit cell a=3.744 b=3.744 c=5.302 alpha=90.00 beta=90.00 gamma=90.00
Space group P4/mmm (No. 123)
Symmetry-distinct sites (fractional):
Hg: 0.000 0.000 0.000
B: 0.500 0.500 0.500
Te: 0.500 0.500 0.000
N: 0.000 0.500 0.500

---

[8]
DFT (PBE) results for crystalline CaIrPb2 at its relaxed geometry.

Values from the calculation:
- E (eV per atom) = -4.68
- ΔH_f (0 K) (eV/atom) = -0.11
- total moment (μB/f.u.) = 0.0

Unit cell a=3.488 b=5.350 c=10.985 alpha=90.00 beta=90.00 gamma=90.00
Space group Immm (No. 71)
Symmetry-distinct sites (fractional):
Ca: 0.000 0.000 0.000
Ir: 0.000 0.000 0.500
Pb: 0.000 0.500 0.202

---

[9]
DFT (PBE) results for crystalline Y3NbAu at its relaxed geometry.

Values from the calculation:
- E (eV per atom) = -6.06
- ΔH_f (0 K) (eV/atom) = 0.49
- total moment (μB/f.u.) = 3.4

Unit cell a=5.467 b=5.467 c=5.467 alpha=90.00 beta=90.00 gamma=90.00
Space group Pm-3m (No. 221)
Symmetry-distinct sites (fractional):
Y: 0.000 0.000 0.500
Nb: 0.500 0.500 0.500
Au: 0.000 0.000 0.000

---

[10]
DFT (PBE) results for crystalline YMo at its relaxed geometry.

Values from the calculation:
- E (eV per atom) = -8.46
- ΔH_f (0 K) (eV/atom) = 0.19
- total moment (μB/f.u.) = 0.0

Unit cell a=3.483 b=5.101 c=10.250 alpha=90.00 beta=90.00 gamma=90.00
Space group Imma (No. 74)
Symmetry-distinct sites (fractional):
Y: 0.000 0.250 0.111
Mo: 0.000 0.250 0.664

---

[11]
DFT (PBE) results for crystalline Ca2Sb2P at its relaxed geometry.

Values from the calculation:
- ΔE_f (raw) (eV per atom) = -0.497
- E (eV per atom) = -4.03
- total moment (μB/f.u.) = 0.0

Unit cell a=7.687 b=7.687 c=4.596 alpha=90.00 beta=90.00 gamma=90.00
Space group P4/mbm (No. 127)
Symmetry-distinct sites (fractional):
Ca: 0.167 0.333 0.000
Sb: 0.142 0.642 0.500
P: 0.000 0.000 0.500

---

[12]
DFT (PBE) results for crystalline Pr5Nd2Y4 at its relaxed geometry.

Values from the calculation:
- E (eV per atom) = -5.37
- ΔH_f (0 K) (eV/atom) = 0.02
- total moment (μB/f.u.) = 0.0

Unit cell a=24.025 b=3.657 c=8.957 alpha=90.00 beta=104.33 gamma=90.00
Space group C2/m (No. 12)
Symmetry-distinct sites (fractional):
Pr: 0.000 0.000 0.000
Pr: 0.136 0.500 0.093
Pr: 0.227 0.500 0.813
Nd: 0.090 0.000 0.723
Y: 0.046 0.500 0.365
Y: 0.182 0.000 0.454

---

[13]
DFT (PBE) results for crystalline Gd2LuCu at its relaxed geometry.

Values from the calculation:
- E (eV per atom) = -9.26
- ΔH_f (0 K) (eV/atom) = -0.07
- total moment (μB/f.u.) = 15.1

Unit cell a=3.517 b=3.517 c=8.569 alpha=90.00 beta=90.00 gamma=90.00
Space group P4/mmm (No. 123)
Symmetry-distinct sites (fractional):
Gd: 0.000 0.000 0.203
Lu: 0.500 0.500 0.500
Cu: 0.500 0.500 0.000

---

[14]
DFT (PBE) results for crystalline SrCdIn2Br6 at its relaxed geometry.

Values from the calculation:
- ΔE_f (raw) (eV per atom) = -1.095
- E (eV per atom) = -2.91
- total moment (μB/f.u.) = 0.0

Unit cell a=7.876 b=7.876 c=6.345 alpha=90.00 beta=90.00 gamma=90.00
Space group P4mm (No. 99)
Symmetry-distinct sites (fractional):
Sr: 0.000 0.000 0.000
Cd: 0.500 0.500 0.978
In: 0.000 0.500 0.402
Br: 0.000 0.000 0.531
Br: 0.263 0.263 0.119
Br: 0.500 0.500 0.575

---

[15]
DFT (PBE) results for crystalline V2AuN at its relaxed geometry.

Values from the calculation:
- ΔE_f (raw) (eV per atom) = -0.662
- E (eV per atom) = -8.12
- total moment (μB/f.u.) = 0.0

Unit cell a=2.9660 b=2.9660 c=19.7360 alpha=90.00 beta=90.00 gamma=120.00
Space group R-3m (No. 166, hexagonal axes)
Symmetry-distinct sites (fractional):
V: 0.0000 0.0000 0.2186
Au: 0.0000 0.0000 0.0000
N: 0.0000 0.0000 0.5000

---

[16]
DFT (PBE) results for crystalline NbHgBr3 at its relaxed geometry.

Values from the calculation:
- ΔE_f (raw) (eV per atom) = -0.608
- E (eV per atom) = -3.69
- total moment (μB/f.u.) = 0.0

Unit cell a=16.227 b=5.928 c=8.141 alpha=90.00 beta=119.88 gamma=90.00
Space group C2/m (No. 12)
Symmetry-distinct sites (fractional):
Nb: 0.000 0.243 0.000
Hg: 0.000 0.500 0.331
Br: 0.113 0.000 0.905
Br: 0.114 0.000 0.318
Br: 0.154 0.500 0.152

---

[17]
DFT (PBE) results for crystalline SrTaAu2 at its relaxed geometry.

Values from the calculation:
- E (eV per atom) = -4.63
- ΔH_f (0 K) (eV/atom) = 0.39
- total moment (μB/f.u.) = 1.0

Unit cell a=5.378 b=5.378 c=16.864 alpha=90.00 beta=90.00 gamma=90.00
Space group I-42d (No. 122)
Symmetry-distinct sites (fractional):
Sr: 0.000 0.000 0.000
Ta: 0.000 0.000 0.500
Au: 0.138 0.250 0.625

---

[18]
DFT (PBE) results for crystalline Rb2HfCu2Te4 at its relaxed geometry.

Values from the calculation:
- ΔE_f (raw) (eV per atom) = -0.694
- E (eV per atom) = -4.32
- total moment (μB/f.u.) = 0.0

Unit cell a=15.766 b=4.230 c=8.645 alpha=90.00 beta=108.77 gamma=90.00
Space group C2/m (No. 12)
Symmetry-distinct sites (fractional):
Rb: 0.135 0.000 0.064
Hf: 0.000 0.000 0.500
Cu: 0.190 0.500 0.489
Te: 0.021 0.500 0.281
Te: 0.193 0.000 0.676

---

[19]
DFT (PBE) results for crystalline Ga2Ag3Au4 at its relaxed geometry.

Values from the calculation:
- E (eV per atom) = -3.19
- ΔH_f (0 K) (eV/atom) = -0.12
- total moment (μB/f.u.) = 0.0

Unit cell a=4.609 b=5.408 c=7.425 alpha=82.21 beta=71.95 gamma=64.79
Space group P-1 (No. 2)
Symmetry-distinct sites (fractional):
Ga: 0.172 0.430 0.227
Ag: 0.492 0.845 0.171
Ag: 0.500 0.500 0.500
Au: 0.151 0.135 0.564
Au: 0.175 0.751 0.897

---

[20]
DFT (PBE) results for crystalline Ce2Al4IrAu3 at its relaxed geometry.

Values from the calculation:
- E (eV per atom) = -5.25
- ΔH_f (0 K) (eV/atom) = -0.70
- total moment (μB/f.u.) = 1.7

Unit cell a=4.361 b=4.361 c=10.477 alpha=90.00 beta=90.00 gamma=90.00
Space group P-4m2 (No. 115)
Symmetry-distinct sites (fractional):
Ce: 0.000 0.500 0.243
Al: 0.000 0.000 0.500
Al: 0.000 0.500 0.875
Al: 0.500 0.500 0.500
Ir: 0.500 0.500 0.000
Au: 0.000 0.000 0.000
Au: 0.000 0.500 0.635